Record 1
First-principles (PBE-GGA) data for an optimized crystal structure of Te5Br2, as listed in Alexandria via LeMat-Bulk.

Calculated values
As for the total magnetization: 0.00 μB per formula unit. Its total energy is -39.27 eV/cell. For the formation energy from raw total energies, the calculation gives -0.08 eV per atom.

Unit cell a=9.168 b=9.168 c=7.937 alpha=93.60 beta=93.60 gamma=56.42
Fractional positions:
Te  0.026  0.205  0.740
Te  0.164  0.836  0.750
Te  0.205  0.026  0.240
Te  0.230  0.241  0.011
Te  0.241  0.230  0.511
Te  0.759  0.770  0.489
Te  0.770  0.759  0.989
Te  0.795  0.974  0.760
Te  0.836  0.164  0.250
Te  0.974  0.795  0.260
Br  0.294  0.449  0.780
Br  0.449  0.294  0.280
Br  0.551  0.706  0.720
Br  0.706  0.551  0.220

Record 2
First-principles (PBE-GGA) data for an optimized crystal structure of TeBr2, as listed in Alexandria via LeMat-Bulk.

Calculated values
Its distance to the lowest polymorph of the same formula is 816 meV per atom. As for the total magnetization: 0.00 μB per formula unit. Its total energy is -4.85 eV/cell. For the formation energy from raw total energies, the calculation gives 0.55 eV per atom.

Unit cell a=5.296 b=5.296 c=3.369 alpha=90.00 beta=90.00 gamma=120.00
Fractional positions:
Te  0.000  0.000  0.000
Br  0.333  0.667  0.500
Br  0.667  0.333  0.500

Record 3
First-principles (PBE-GGA) data for an optimized crystal structure of TeBr3, as listed in Alexandria via LeMat-Bulk.

Calculated values
Its distance to the lowest polymorph of the same formula is 455 meV per atom. As for the total magnetization: 0.56 μB per formula unit. Its total energy is -7.59 eV/cell. For the formation energy from raw total energies, the calculation gives 0.14 eV per atom.

Unit cell a=12.850 b=12.850 c=12.850 alpha=15.76 beta=15.76 gamma=15.76
Fractional positions:
Te  0.000  0.000  0.000
Br  0.068  0.068  0.068
Br  0.500  0.500  0.500
Br  0.932  0.932  0.932

Record 4
First-principles (PBE-GGA) data for an optimized crystal structure of TeBr2, as listed in Alexandria via LeMat-Bulk.

Calculated values
Its distance to the lowest polymorph of the same formula is 35 meV per atom. As for the total magnetization: 0.00 μB per formula unit. Its total energy is -14.38 eV/cell. For the formation energy from raw total energies, the calculation gives -0.23 eV per atom.

Unit cell a=4.328 b=5.804 c=9.322 alpha=106.42 beta=102.74 gamma=90.00
Fractional positions:
Te  0.218  0.303  0.433
Te  0.782  0.697  0.567
Br  0.089  0.351  0.160
Br  0.343  0.120  0.695
Br  0.657  0.880  0.305
Br  0.911  0.649  0.840